# MoIr2Os, optimized geometry, DFT GGA-PBEsol
# D(E_F)	4.89	states/eV/cell
# energy of formation	0.305	eV per atom
# calculated volume	59.0	Å³ per cell
# E	-42.409	eV/f.u.
data_MoIr2Os
_chemical_formula_sum 'Mo1 Ir2 Os1'
_cell_length_a 3.3069
_cell_length_b 3.3069
_cell_length_c 5.3912
_cell_angle_alpha 90.00
_cell_angle_beta 90.00
_cell_angle_gamma 90.00
_symmetry_space_group_name_H-M 'P 1'
_symmetry_Int_Tables_number 1
loop_
_symmetry_equiv_pos_as_xyz
'x,y,z'
loop_
_atom_site_label
_atom_site_type_symbol
_atom_site_fract_x
_atom_site_fract_y
_atom_site_fract_z
Ir1 Ir 0.0000 0.0000 0.2543
Mo1 Mo 0.5000 0.5000 0.0000
Ir2 Ir 0.0000 0.0000 0.7457
Os1 Os 0.5000 0.5000 0.5000

# Zn2CuCl, optimized geometry, DFT GGA-PBEsol
# D(E_F)	1.09	states/eV/cell
# calculated volume	64.9	Å³ per cell
# E	-8.862	eV/f.u.
data_Zn2CuCl
_chemical_formula_sum 'Zn2 Cu1 Cl1'
_cell_length_a 2.9222
_cell_length_b 4.0433
_cell_length_c 5.4905
_cell_angle_alpha 90.00
_cell_angle_beta 90.00
_cell_angle_gamma 90.00
_symmetry_space_group_name_H-M 'P 1'
_symmetry_Int_Tables_number 1
loop_
_symmetry_equiv_pos_as_xyz
'x,y,z'
loop_
_atom_site_label
_atom_site_type_symbol
_atom_site_fract_x
_atom_site_fract_y
_atom_site_fract_z
Zn1 Zn 0.0000 0.0000 0.0000
Zn2 Zn 0.5000 0.5000 0.0000
Cu1 Cu 0.0000 0.5000 0.5000
Cl1 Cl 0.5000 0.0000 0.5000

# Ag2Pt, optimized geometry, DFT GGA-PBEsol
# D(E_F)	3.43	states/eV/cell
# energy of formation	0.066	eV per atom
# calculated volume	145.3	Å³ per cell
# E	-13.389	eV/f.u.
data_Ag2Pt
_chemical_formula_sum 'Ag6 Pt3'
_cell_length_a 2.7562
_cell_length_b 7.8029
_cell_length_c 7.8029
_cell_angle_alpha 120.00
_cell_angle_beta 90.00
_cell_angle_gamma 90.00
_symmetry_space_group_name_H-M 'P 1'
_symmetry_Int_Tables_number 1
loop_
_symmetry_equiv_pos_as_xyz
'x,y,z'
loop_
_atom_site_label
_atom_site_type_symbol
_atom_site_fract_x
_atom_site_fract_y
_atom_site_fract_z
Ag1 Ag 0.5000 0.0000 0.6367
Ag2 Ag 0.0000 0.6950 0.6950
Ag3 Ag 0.5000 0.3633 0.3633
Pt1 Pt 0.0000 0.3333 0.6667
Ag4 Ag 0.0000 0.3050 0.0000
Pt2 Pt 0.5000 0.0000 0.0000
Ag5 Ag 0.5000 0.6367 0.0000
Pt3 Pt 0.0000 0.6667 0.3333
Ag6 Ag 0.0000 0.0000 0.3050

# La3Rh2, optimized geometry, DFT GGA-PBEsol
# D(E_F)	3.66	states/eV/cell
# energy of formation	-0.527	eV per atom
# calculated volume	142.7	Å³ per cell
# E	-34.949	eV/f.u.
data_La3Rh2
_chemical_formula_sum 'La3 Rh2'
_cell_length_a 4.0948
_cell_length_b 4.0948
_cell_length_c 10.1063
_cell_angle_alpha 78.31
_cell_angle_beta 78.31
_cell_angle_gamma 60.00
_symmetry_space_group_name_H-M 'P 1'
_symmetry_Int_Tables_number 1
loop_
_symmetry_equiv_pos_as_xyz
'x,y,z'
loop_
_atom_site_label
_atom_site_type_symbol
_atom_site_fract_x
_atom_site_fract_y
_atom_site_fract_z
Rh1 Rh 0.6073 0.6073 0.1782
Rh2 Rh 0.3927 0.3927 0.8218
La1 La 0.7750 0.7750 0.6750
La2 La 0.2250 0.2250 0.3250
La3 La 0.0000 0.0000 0.0000

# AlZnPt2, optimized geometry, DFT GGA-PBEsol
# D(E_F)	0.84	states/eV/cell
# energy of formation	-0.797	eV per atom
# calculated volume	56.1	Å³ per cell
# E	-22.787	eV/f.u.
data_AlZnPt2
_chemical_formula_sum 'Al1 Zn1 Pt2'
_cell_length_a 2.8210
_cell_length_b 3.5302
_cell_length_c 5.6358
_cell_angle_alpha 90.00
_cell_angle_beta 90.00
_cell_angle_gamma 90.00
_symmetry_space_group_name_H-M 'P 1'
_symmetry_Int_Tables_number 1
loop_
_symmetry_equiv_pos_as_xyz
'x,y,z'
loop_
_atom_site_label
_atom_site_type_symbol
_atom_site_fract_x
_atom_site_fract_y
_atom_site_fract_z
Pt1 Pt 0.0000 0.0000 0.2534
Pt2 Pt 0.0000 0.0000 0.7466
Al1 Al 0.5000 0.5000 0.5000
Zn1 Zn 0.5000 0.5000 0.0000

# YMgTl2, optimized geometry, DFT GGA-PBEsol
# D(E_F)	1.47	states/eV/cell
# energy of formation	-0.359	eV per atom
# calculated volume	96.6	Å³ per cell
# E	-15.234	eV/f.u.
data_YMgTl2
_chemical_formula_sum 'Y1 Mg1 Tl2'
_cell_length_a 4.4131
_cell_length_b 4.6780
_cell_length_c 4.6780
_cell_angle_alpha 90.00
_cell_angle_beta 90.00
_cell_angle_gamma 90.00
_symmetry_space_group_name_H-M 'P 1'
_symmetry_Int_Tables_number 1
loop_
_symmetry_equiv_pos_as_xyz
'x,y,z'
loop_
_atom_site_label
_atom_site_type_symbol
_atom_site_fract_x
_atom_site_fract_y
_atom_site_fract_z
Tl1 Tl 0.0000 0.0000 0.5000
Mg1 Mg 0.5000 0.0000 0.0000
Y1 Y 0.5000 0.5000 0.5000
Tl2 Tl 0.0000 0.5000 0.0000

# CoSiNi2, optimized geometry, DFT GGA-PBEsol
# D(E_F)	4.01	states/eV/cell
# calculated volume	41.8	Å³ per cell
# E	-27.070	eV/f.u.
data_CoSiNi2
_chemical_formula_sum 'Co1 Si1 Ni2'
_cell_length_a 2.5398
_cell_length_b 4.1794
_cell_length_c 4.1794
_cell_angle_alpha 109.44
_cell_angle_beta 90.00
_cell_angle_gamma 90.00
_symmetry_space_group_name_H-M 'P 1'
_symmetry_Int_Tables_number 1
loop_
_symmetry_equiv_pos_as_xyz
'x,y,z'
loop_
_atom_site_label
_atom_site_type_symbol
_atom_site_fract_x
_atom_site_fract_y
_atom_site_fract_z
Si1 Si 0.5000 0.0000 0.0000
Ni1 Ni 0.0000 0.5000 0.0000
Co1 Co 0.5000 0.5000 0.5000
Ni2 Ni 0.0000 0.0000 0.5000

# RbAgSCl2, optimized geometry, DFT GGA-PBEsol
# D(E_F)	6.39	states/eV/cell
# calculated volume	199.6	Å³ per cell
# E	-10.517	eV/f.u.
data_RbAgSCl2
_chemical_formula_sum 'Rb1 Ag1 S1 Cl2'
_cell_length_a 5.7698
_cell_length_b 5.8820
_cell_length_c 5.8820
_cell_angle_alpha 90.00
_cell_angle_beta 90.00
_cell_angle_gamma 90.00
_symmetry_space_group_name_H-M 'P 1'
_symmetry_Int_Tables_number 1
loop_
_symmetry_equiv_pos_as_xyz
'x,y,z'
loop_
_atom_site_label
_atom_site_type_symbol
_atom_site_fract_x
_atom_site_fract_y
_atom_site_fract_z
Rb1 Rb 0.0000 0.0000 0.0000
Ag1 Ag 0.5000 0.5000 0.5000
Cl1 Cl 0.0000 0.5000 0.0000
S1 S 0.5000 0.0000 0.0000
Cl2 Cl 0.0000 0.0000 0.5000

# Fe2AsIr, optimized geometry, DFT GGA-PBEsol
# D(E_F)	4.68	states/eV/cell
# energy of formation	0.079	eV per atom
# calculated volume	51.1	Å³ per cell
# E	-32.540	eV/f.u.
data_Fe2AsIr
_chemical_formula_sum 'Fe2 As1 Ir1'
_cell_length_a 2.7584
_cell_length_b 4.4858
_cell_length_c 4.4858
_cell_angle_alpha 112.87
_cell_angle_beta 90.00
_cell_angle_gamma 90.00
_symmetry_space_group_name_H-M 'P 1'
_symmetry_Int_Tables_number 1
loop_
_symmetry_equiv_pos_as_xyz
'x,y,z'
loop_
_atom_site_label
_atom_site_type_symbol
_atom_site_fract_x
_atom_site_fract_y
_atom_site_fract_z
Fe1 Fe 0.0000 0.0000 0.5000
Ir1 Ir 0.5000 0.0000 0.0000
As1 As 0.5000 0.5000 0.5000
Fe2 Fe 0.0000 0.5000 0.0000

# Sr2SbIr, optimized geometry, DFT GGA-PBEsol
# D(E_F)	0.13	states/eV/cell
# calculated volume	93.3	Å³ per cell
# E	-18.899	eV/f.u.
data_Sr2SbIr
_chemical_formula_sum 'Sr2 Sb1 Ir1'
_cell_length_a 5.0915
_cell_length_b 5.0915
_cell_length_c 5.0915
_cell_angle_alpha 60.00
_cell_angle_beta 60.00
_cell_angle_gamma 60.00
_symmetry_space_group_name_H-M 'P 1'
_symmetry_Int_Tables_number 1
loop_
_symmetry_equiv_pos_as_xyz
'x,y,z'
loop_
_atom_site_label
_atom_site_type_symbol
_atom_site_fract_x
_atom_site_fract_y
_atom_site_fract_z
Sb1 Sb 0.2500 0.2500 0.2500
Ir1 Ir 0.5000 0.5000 0.5000
Sr1 Sr 0.0000 0.0000 0.0000
Sr2 Sr 0.7500 0.7500 0.7500

# CaTc2Se, optimized geometry, DFT GGA-PBEsol
# D(E_F)	3.26	states/eV/cell
# calculated volume	72.1	Å³ per cell
# E	-27.609	eV/f.u.
data_CaTc2Se
_chemical_formula_sum 'Ca1 Tc2 Se1'
_cell_length_a 3.3472
_cell_length_b 4.3486
_cell_length_c 4.9613
_cell_angle_alpha 90.00
_cell_angle_beta 90.00
_cell_angle_gamma 92.64
_symmetry_space_group_name_H-M 'P 1'
_symmetry_Int_Tables_number 1
loop_
_symmetry_equiv_pos_as_xyz
'x,y,z'
loop_
_atom_site_label
_atom_site_type_symbol
_atom_site_fract_x
_atom_site_fract_y
_atom_site_fract_z
Tc1 Tc 0.3436 0.2438 0.0000
Se1 Se 0.5000 0.0000 0.5000
Ca1 Ca 0.0000 0.5000 0.5000
Tc2 Tc 0.6564 0.7562 0.0000

# TlHg2Ir, optimized geometry, DFT GGA-PBEsol
# D(E_F)	3.99	states/eV/cell
# energy of formation	0.555	eV per atom
# calculated volume	78.4	Å³ per cell
# E	-11.368	eV/f.u.
data_TlHg2Ir
_chemical_formula_sum 'Tl1 Hg2 Ir1'
_cell_length_a 4.8031
_cell_length_b 4.8031
_cell_length_c 4.8031
_cell_angle_alpha 60.00
_cell_angle_beta 60.00
_cell_angle_gamma 60.00
_symmetry_space_group_name_H-M 'P 1'
_symmetry_Int_Tables_number 1
loop_
_symmetry_equiv_pos_as_xyz
'x,y,z'
loop_
_atom_site_label
_atom_site_type_symbol
_atom_site_fract_x
_atom_site_fract_y
_atom_site_fract_z
Ir1 Ir 0.5000 0.5000 0.5000
Hg1 Hg 0.0000 0.0000 0.0000
Hg2 Hg 0.7500 0.7500 0.7500
Tl1 Tl 0.2500 0.2500 0.2500

# ScAg3, optimized geometry, DFT GGA-PBEsol
# D(E_F)	2.60	states/eV/cell
# energy of formation	-0.201	eV per atom
# calculated volume	70.4	Å³ per cell
# E	-17.342	eV/f.u.
data_ScAg3
_chemical_formula_sum 'Sc1 Ag3'
_cell_length_a 4.6350
_cell_length_b 4.6350
_cell_length_c 4.6350
_cell_angle_alpha 60.00
_cell_angle_beta 60.00
_cell_angle_gamma 60.00
_symmetry_space_group_name_H-M 'P 1'
_symmetry_Int_Tables_number 1
loop_
_symmetry_equiv_pos_as_xyz
'x,y,z'
loop_
_atom_site_label
_atom_site_type_symbol
_atom_site_fract_x
_atom_site_fract_y
_atom_site_fract_z
Ag1 Ag 0.2500 0.2500 0.2500
Ag2 Ag 0.0000 0.0000 0.0000
Sc1 Sc 0.5000 0.5000 0.5000
Ag3 Ag 0.7500 0.7500 0.7500